A plane-wave DFT calculation with PBE-GGA was carried out for LaPRh2 after structural relaxation.

```
data_LaPRh2
_cell_length_a 4.263
_cell_length_b 4.263
_cell_length_c 3.932
_cell_angle_alpha 90.00
_cell_angle_beta 90.00
_cell_angle_gamma 90.00
_space_group_name_H-M_alt 'P 1'
_space_group_IT_number 1
_space_group_name_Hall 'P 1'
loop_
_atom_site_label
_atom_site_type_symbol
_atom_site_fract_x
_atom_site_fract_y
_atom_site_fract_z
La1 La 0.000 0.000 0.000
P1 P 0.500 0.500 0.000
Rh1 Rh 0.000 0.500 0.500
Rh2 Rh 0.500 0.000 0.500
```

Calculated values
For the energy of formation, the calculation gives -47.8 kJ/mol of atoms. For the calculated total energy, the calculation gives -27.02 eV per cell. As for the magnetization: 0.00 μB/cell.